No. 1
Compound: AlTlPt4
Source: Alexandria
Functional: PBE
Structure: optimized geometry

Cell lengths 5.374, 5.374, 5.374 Å; angles 60.00, 60.00, 60.00 degrees
Positions (direct):
1 Al 0.000 0.000 0.000
2 Tl 0.250 0.250 0.250
3 Pt 0.124 0.625 0.625
4 Pt 0.625 0.124 0.625
5 Pt 0.625 0.625 0.124
6 Pt 0.625 0.625 0.625

Output
As for the uncorrected energy: -30.8 eV per cell. The space group is F-43m (216). Its formation energy is -83 meV per atom.

=====

No. 2
Compound: Al2Tl2Pt
Source: Alexandria
Functional: PBE
Structure: optimized geometry

Cell lengths 6.549, 6.549, 5.356 Å; angles 90.00, 90.00, 90.00 degrees
Positions (direct):
1 Al 0.151 0.349 0.000
2 Al 0.349 0.849 0.000
3 Al 0.651 0.151 0.000
4 Al 0.849 0.651 0.000
5 Tl 0.184 0.684 0.500
6 Tl 0.316 0.184 0.500
7 Tl 0.684 0.816 0.500
8 Tl 0.816 0.316 0.500
9 Pt 0.000 0.000 0.000
10 Pt 0.500 0.500 0.000

Output
As for the uncorrected energy: -37.7 eV per cell. The space group is P4/mbm (127). Its formation energy is -115 meV per atom.

=====

No. 3
Compound: AlTl2Pt
Source: Alexandria
Functional: PBE
Structure: optimized geometry

Cell lengths 4.794, 3.956, 6.462 Å; angles 90.00, 110.01, 90.00 degrees
Positions (direct):
1 Al 0.000 0.000 0.000
2 Tl 0.329 0.500 0.672
3 Tl 0.671 0.500 0.328
4 Pt 0.500 0.000 0.000

Output
The energy above the lowest structure with this stoichiometry is 0.228 eV per atom. As for the uncorrected energy: -14.6 eV per cell. The space group is P2/m (10). Its formation energy is -16 meV per atom.

=====

No. 4
Compound: AlTl2Pt
Source: Alexandria
Functional: PBE
Structure: optimized geometry

Cell lengths 15.944, 3.150, 4.014 Å; angles 90.00, 103.86, 90.00 degrees
Positions (direct):
1 Al 0.000 0.000 0.000
2 Al 0.500 0.500 0.000
3 Tl 0.174 0.000 0.676
4 Tl 0.326 0.500 0.324
5 Tl 0.674 0.500 0.676
6 Tl 0.826 0.000 0.324
7 Pt 0.000 0.500 0.500
8 Pt 0.500 0.000 0.500

Output
The energy above the lowest structure with this stoichiometry is 0.032 eV per atom. As for the uncorrected energy: -30.7 eV per cell. The space group is C2/m (12). Its formation energy is -212 meV per atom.

=====

No. 5
Compound: AlTl2Pt
Source: Alexandria
Functional: PBE
Structure: optimized geometry

Cell lengths 5.133, 5.133, 6.633 Å; angles 90.00, 90.00, 90.00 degrees
Positions (direct):
1 Al 0.000 0.000 0.000
2 Al 0.500 0.500 0.500
3 Tl 0.000 0.000 0.500
4 Tl 0.000 0.500 0.750
5 Tl 0.500 0.000 0.250
6 Tl 0.500 0.500 0.000
7 Pt 0.000 0.500 0.250
8 Pt 0.500 0.000 0.750

Output
The energy above the lowest structure with this stoichiometry is 0.414 eV per atom. As for the uncorrected energy: -27.7 eV per cell. The space group is I-4m2 (119). Its formation energy is 170 meV per atom.

=====

No. 6
Compound: AlTl3Pt
Source: Alexandria
Functional: PBE
Structure: optimized geometry

Cell lengths 5.270, 5.270, 5.270 Å; angles 90.00, 90.00, 90.00 degrees
Positions (direct):
1 Al 0.000 0.000 0.000
2 Tl 0.000 0.000 0.500
3 Tl 0.000 0.500 0.000
4 Tl 0.500 0.000 0.000
5 Pt 0.500 0.500 0.500

Output
The energy above the lowest structure with this stoichiometry is 0.366 eV per atom. As for the uncorrected energy: -13.6 eV per cell. The space group is Pm-3m (221). Its formation energy is 658 meV per atom.

=====

No. 7
Compound: AlTl2Pt
Source: Alexandria
Functional: PBE
Structure: optimized geometry

Cell lengths 5.837, 10.344, 3.785 Å; angles 90.00, 128.05, 90.00 degrees
Positions (direct):
1 Al 0.000 0.000 0.000
2 Al 0.500 0.500 0.000
3 Tl 0.250 0.250 0.500
4 Tl 0.250 0.750 0.500
5 Tl 0.750 0.250 0.500
6 Tl 0.750 0.750 0.500
7 Pt 0.000 0.500 0.000
8 Pt 0.500 0.000 0.000

Output
The energy above the lowest structure with this stoichiometry is 0.455 eV per atom. As for the uncorrected energy: -27.3 eV per cell. The space group is C2/m (12). Its formation energy is 211 meV per atom.

=====

No. 8
Compound: Tm2Al5Pt3
Source: Alexandria
Functional: PBE
Structure: optimized geometry

Cell lengths 12.668, 12.668, 6.700 Å; angles 90.00, 90.00, 160.51 degrees
Positions (direct):
1 Tm 0.018 0.982 0.500
2 Tm 0.325 0.675 0.463
3 Tm 0.675 0.325 0.963
4 Tm 0.982 0.018 0.000
5 Al 0.101 0.899 0.147
6 Al 0.207 0.793 0.654
7 Al 0.211 0.789 0.250
8 Al 0.374 0.626 0.992
9 Al 0.446 0.554 0.326
10 Al 0.554 0.446 0.826
11 Al 0.626 0.374 0.492
12 Al 0.789 0.211 0.750
13 Al 0.793 0.207 0.154
14 Al 0.899 0.101 0.647
15 Pt 0.108 0.892 0.755
16 Pt 0.273 0.727 0.949
17 Pt 0.451 0.549 0.718
18 Pt 0.549 0.451 0.218
19 Pt 0.727 0.273 0.449
20 Pt 0.892 0.108 0.255

Output
As for the uncorrected energy: -112.1 eV per cell. The space group is Cmc2_1 (36). Its formation energy is -1028 meV per atom.

=====

No. 9
Compound: Tm2Al6Pt
Source: Alexandria
Functional: PBE
Structure: optimized geometry

Cell lengths 5.724, 5.724, 5.949 Å; angles 90.00, 90.00, 120.00 degrees
Positions (direct):
1 Tm 0.333 0.667 0.124
2 Tm 0.667 0.333 0.876
3 Al 0.173 0.346 0.679
4 Al 0.173 0.827 0.679
5 Al 0.346 0.173 0.321
6 Al 0.654 0.827 0.679
7 Al 0.827 0.173 0.321
8 Al 0.827 0.654 0.321
9 Pt 0.000 0.000 0.000

Output
As for the uncorrected energy: -42.8 eV per cell. The space group is P-3m1 (164). Its formation energy is -591 meV per atom.

=====

No. 10
Compound: Tm2Al8Pt
Source: Alexandria
Functional: PBE
Structure: optimized geometry

Cell lengths 4.269, 4.269, 11.125 Å; angles 90.00, 90.00, 90.00 degrees
Positions (direct):
1 Tm 0.000 0.000 0.188
2 Tm 0.000 0.000 0.812
3 Al 0.000 0.500 0.000
4 Al 0.000 0.500 0.373
5 Al 0.000 0.500 0.627
6 Al 0.500 0.000 0.000
7 Al 0.500 0.000 0.373
8 Al 0.500 0.000 0.627
9 Al 0.500 0.500 0.195
10 Al 0.500 0.500 0.805
11 Pt 0.000 0.000 0.500

Output
As for the uncorrected energy: -50.9 eV per cell. The space group is P4/mmm (123). Its formation energy is -547 meV per atom.

=====

No. 11
Compound: Tm8Al2Pt
Source: Alexandria
Functional: PBE
Structure: optimized geometry

Cell lengths 9.559, 9.559, 6.503 Å; angles 103.05, 103.05, 29.95 degrees
Positions (direct):
1 Tm 0.024 0.024 0.278
2 Tm 0.213 0.213 0.812
3 Tm 0.350 0.350 0.521
4 Tm 0.408 0.408 0.047
5 Tm 0.592 0.592 0.953
6 Tm 0.650 0.650 0.479
7 Tm 0.787 0.787 0.188
8 Tm 0.976 0.976 0.722
9 Al 0.187 0.187 0.255
10 Al 0.813 0.813 0.745
11 Pt 0.500 0.500 0.500

Output
As for the uncorrected energy: -53.4 eV per cell. The space group is C2/m (12). Its formation energy is -376 meV per atom.

=====

No. 12
Compound: Tm4Al12Pt
Source: Alexandria
Functional: PBE
Structure: optimized geometry

Cell lengths 7.446, 7.446, 7.446 Å; angles 109.47, 109.47, 109.47 degrees
Positions (direct):
1 Tm 0.000 0.000 0.500
2 Tm 0.000 0.500 0.000
3 Tm 0.500 0.000 0.000
4 Tm 0.500 0.500 0.500
5 Al 0.000 0.293 0.293
6 Al 0.000 0.707 0.707
7 Al 0.250 0.500 0.750
8 Al 0.250 0.750 0.500
9 Al 0.293 0.000 0.293
10 Al 0.293 0.293 0.000
11 Al 0.500 0.250 0.750
12 Al 0.500 0.750 0.250
13 Al 0.707 0.000 0.707
14 Al 0.707 0.707 0.000
15 Al 0.750 0.250 0.500
16 Al 0.750 0.500 0.250
17 Pt 0.000 0.000 0.000

Output
As for the uncorrected energy: -78.2 eV per cell. The space group is Im-3m (229). Its formation energy is -553 meV per atom.

=====

No. 13
Compound: TmAlPt6
Source: Alexandria
Functional: PBE
Structure: optimized geometry

Cell lengths 4.030, 4.030, 7.940 Å; angles 90.00, 90.00, 90.00 degrees
Positions (direct):
1 Tm 0.000 0.000 0.000
2 Al 0.000 0.000 0.500
3 Pt 0.000 0.500 0.264
4 Pt 0.000 0.500 0.736
5 Pt 0.500 0.000 0.264
6 Pt 0.500 0.000 0.736
7 Pt 0.500 0.500 0.000
8 Pt 0.500 0.500 0.500

Output
As for the uncorrected energy: -51.5 eV per cell. The space group is P4/mmm (123). Its formation energy is -881 meV per atom.

=====

No. 14
Compound: Tm4Al16Pt3
Source: Alexandria
Functional: PBE
Structure: optimized geometry

Cell lengths 6.156, 6.156, 11.120 Å; angles 90.00, 90.00, 90.00 degrees
Positions (direct):
1 Tm 0.000 0.500 0.189
2 Tm 0.000 0.500 0.811
3 Tm 0.500 0.000 0.189
4 Tm 0.500 0.000 0.811
5 Al 0.000 0.000 0.198
6 Al 0.000 0.000 0.802
7 Al 0.213 0.213 0.000
8 Al 0.213 0.787 0.000
9 Al 0.245 0.245 0.375
10 Al 0.245 0.245 0.625
11 Al 0.245 0.755 0.375
12 Al 0.245 0.755 0.625
13 Al 0.500 0.500 0.227
14 Al 0.500 0.500 0.773
15 Al 0.755 0.245 0.375
16 Al 0.755 0.245 0.625
17 Al 0.755 0.755 0.375
18 Al 0.755 0.755 0.625
19 Al 0.787 0.213 0.000
20 Al 0.787 0.787 0.000
21 Pt 0.000 0.500 0.500
22 Pt 0.500 0.000 0.500
23 Pt 0.500 0.500 0.000

Output
As for the uncorrected energy: -110.6 eV per cell. The space group is P4/mmm (123). Its formation energy is -639 meV per atom.

=====

No. 15
Compound: TmAlPt2
Source: Alexandria
Functional: PBE
Structure: optimized geometry

Cell lengths 7.117, 7.085, 5.745 Å; angles 90.00, 90.00, 90.00 degrees
Positions (direct):
1 Tm 0.023 0.250 0.153
2 Tm 0.477 0.750 0.653
3 Tm 0.523 0.250 0.347
4 Tm 0.977 0.750 0.847
5 Al 0.112 0.750 0.352
6 Al 0.388 0.250 0.852
7 Al 0.612 0.750 0.148
8 Al 0.888 0.250 0.648
9 Pt 0.190 0.050 0.580
10 Pt 0.190 0.450 0.580
11 Pt 0.310 0.550 0.080
12 Pt 0.310 0.950 0.080
13 Pt 0.690 0.050 0.920
14 Pt 0.690 0.450 0.920
15 Pt 0.810 0.550 0.420
16 Pt 0.810 0.950 0.420

Output
As for the uncorrected energy: -100.2 eV per cell. The space group is Pnma (62). Its formation energy is -1186 meV per atom.

=====

No. 16
Compound: Tm3Al9Pt2
Source: Alexandria
Functional: PBE
Structure: optimized geometry

Cell lengths 8.162, 8.162, 8.162 Å; angles 149.93, 104.34, 83.50 degrees
Positions (direct):
1 Tm 0.000 0.000 0.000
2 Tm 0.308 0.308 0.000
3 Tm 0.692 0.692 0.000
4 Al 0.027 0.657 0.370
5 Al 0.153 0.870 0.283
6 Al 0.287 0.657 0.630
7 Al 0.412 0.130 0.283
8 Al 0.500 0.000 0.500
9 Al 0.588 0.870 0.717
10 Al 0.713 0.343 0.370
11 Al 0.847 0.130 0.717
12 Al 0.973 0.343 0.630
13 Pt 0.298 0.500 0.798
14 Pt 0.702 0.500 0.202

Output
As for the uncorrected energy: -68.8 eV per cell. The space group is Immm (71). Its formation energy is -689 meV per atom.

=====

No. 17
Compound: Tm6Al2Pt
Source: Alexandria
Functional: PBE
Structure: optimized geometry

Cell lengths 8.510, 8.510, 8.510 Å; angles 146.64, 131.24, 60.37 degrees
Positions (direct):
1 Tm 0.081 0.339 0.742
2 Tm 0.236 0.000 0.236
3 Tm 0.403 0.661 0.742
4 Tm 0.597 0.339 0.258
5 Tm 0.764 0.000 0.764
6 Tm 0.919 0.661 0.258
7 Al 0.333 0.833 0.500
8 Al 0.667 0.167 0.500
9 Pt 0.000 0.500 0.500

Output
As for the uncorrected energy: -43.3 eV per cell. The space group is Immm (71). Its formation energy is -326 meV per atom.

=====

No. 18
Compound: TmAl6Pt3
Source: Alexandria
Functional: PBE
Structure: optimized geometry

Cell lengths 8.053, 4.129, 10.605 Å; angles 90.00, 97.09, 90.00 degrees
Positions (direct):
1 Tm 0.010 0.250 0.274
2 Tm 0.990 0.750 0.726
3 Al 0.065 0.250 0.937
4 Al 0.208 0.750 0.447
5 Al 0.263 0.750 0.192
6 Al 0.340 0.750 0.729
7 Al 0.416 0.250 0.060
8 Al 0.445 0.250 0.581
9 Al 0.555 0.750 0.419
10 Al 0.584 0.750 0.940
11 Al 0.660 0.250 0.271
12 Al 0.737 0.250 0.808
13 Al 0.792 0.250 0.553
14 Al 0.935 0.750 0.063
15 Pt 0.127 0.250 0.564
16 Pt 0.261 0.750 0.953
17 Pt 0.372 0.250 0.334
18 Pt 0.628 0.750 0.666
19 Pt 0.739 0.250 0.047
20 Pt 0.873 0.750 0.436

Output
As for the uncorrected energy: -106.2 eV per cell. The space group is P2_1/m (11). Its formation energy is -806 meV per atom.

=====

No. 19
Compound: Tm2Al3Pt2
Source: Alexandria
Functional: PBE
Structure: optimized geometry

Cell lengths 10.093, 4.230, 6.850 Å; angles 90.00, 114.34, 90.00 degrees
Positions (direct):
1 Tm 0.147 0.000 0.281
2 Tm 0.353 0.500 0.719
3 Tm 0.647 0.500 0.281
4 Tm 0.853 0.000 0.719
5 Al 0.000 0.500 0.500
6 Al 0.126 0.500 0.941
7 Al 0.374 0.000 0.059
8 Al 0.500 0.000 0.500
9 Al 0.626 0.000 0.941
10 Al 0.874 0.500 0.059
11 Pt 0.141 0.000 0.715
12 Pt 0.359 0.500 0.285
13 Pt 0.641 0.500 0.715
14 Pt 0.859 0.000 0.285

Output
As for the uncorrected energy: -78.8 eV per cell. The space group is C2/m (12). Its formation energy is -1020 meV per atom.

=====

No. 20
Compound: TmAl3Pt3
Source: Alexandria
Functional: PBE
Structure: optimized geometry

Cell lengths 6.757, 6.757, 6.757 Å; angles 90.00, 90.00, 90.00 degrees
Positions (direct):
1 Tm 0.000 0.000 0.000
2 Tm 0.500 0.500 0.500
3 Al 0.000 0.250 0.500
4 Al 0.000 0.750 0.500
5 Al 0.250 0.500 0.000
6 Al 0.500 0.000 0.250
7 Al 0.500 0.000 0.750
8 Al 0.750 0.500 0.000
9 Pt 0.000 0.500 0.250
10 Pt 0.000 0.500 0.750
11 Pt 0.250 0.000 0.500
12 Pt 0.500 0.250 0.000
13 Pt 0.500 0.750 0.000
14 Pt 0.750 0.000 0.500

Output
As for the uncorrected energy: -74.8 eV per cell. The space group is Pm-3n (223). Its formation energy is -510 meV per atom.